Record 1
Here is crystalline Ba2PPb at its relaxed geometry from Alexandria. Energies are from GGA-PBE.

```
data_Ba2PPb
_chemical_formula_sum 'Ba2 P1 Pb1'
_symmetry_space_group_name_H-M 'P 1'
_symmetry_Int_Tables_number 1
_cell_length_a 4.113
_cell_length_b 4.109
_cell_length_c 9.181
_cell_angle_alpha 63.51
_cell_angle_beta 90.00
_cell_angle_gamma 90.00
loop_
_symmetry_equiv_pos_as_xyz
'x,y,z'
loop_
_atom_site_label
_atom_site_fract_x
_atom_site_fract_y
_atom_site_fract_z
Ba1 0.000 0.956 0.045
Ba2 0.000 0.544 0.455
Pb1 0.500 0.750 0.750
P1 0.500 0.250 0.250
```

Output
Electronic total energy in hartree per atom: -0.142
DOS(E_F) in states/eV/cell: 3.3
DFT formation energy in eV/atom: -0.62
ρ in Mg/m³: 6.13


Record 2
Here is crystalline SrCoCl2 at its relaxed geometry from Alexandria. Energies are from GGA-PBE.

```
data_SrCoCl2
_chemical_formula_sum 'Sr1 Co1 Cl2'
_symmetry_space_group_name_H-M 'P 1'
_symmetry_Int_Tables_number 1
_cell_length_a 6.286
_cell_length_b 6.286
_cell_length_c 6.286
_cell_angle_alpha 142.34
_cell_angle_beta 142.34
_cell_angle_gamma 54.31
loop_
_symmetry_equiv_pos_as_xyz
'x,y,z'
loop_
_atom_site_label
_atom_site_fract_x
_atom_site_fract_y
_atom_site_fract_z
Sr1 0.750 0.250 0.500
Co1 0.500 0.500 0.000
Cl1 0.250 0.750 0.500
Cl2 0.000 0.000 0.000
```

Output
Electronic total energy in hartree per atom: -0.138
DOS(E_F) in states/eV/cell: 7.8
ρ in Mg/m³: 3.92
Formation energy from raw total energies in eV per atom: -0.646


Record 3
Here is crystalline PrSm3F at its relaxed geometry from Alexandria. Energies are from GGA-PBE.

```
data_PrSm3F
_chemical_formula_sum 'Pr1 Sm3 F1'
_symmetry_space_group_name_H-M 'P 1'
_symmetry_Int_Tables_number 1
_cell_length_a 5.171
_cell_length_b 5.171
_cell_length_c 5.171
_cell_angle_alpha 90.00
_cell_angle_beta 90.00
_cell_angle_gamma 90.00
loop_
_symmetry_equiv_pos_as_xyz
'x,y,z'
loop_
_atom_site_label
_atom_site_fract_x
_atom_site_fract_y
_atom_site_fract_z
Pr1 0.500 0.500 0.500
Sm1 0.000 0.000 0.500
Sm2 0.500 0.000 0.000
Sm3 0.000 0.500 0.000
F1 0.000 0.000 0.000
```

Output
Electronic total energy in hartree per atom: -0.188
DOS(E_F) in states/eV/cell: 4.5
ρ in Mg/m³: 7.34
Formation energy from raw total energies in eV per atom: -0.963